i.
Crystalline Hf2PaSi at its relaxed geometry. Source: Alexandria via LeMat-Bulk, functional PBE-GGA.

```
Hf2PaSi
1.0
3.245 0.000 0.000
1.622 2.810 0.000
1.622 0.937 9.428
Si Pa Hf
1 1 2
direct
0.000 0.000 0.000
0.500 0.500 0.500
0.260 0.260 0.219
0.740 0.740 0.781
```


ii.
Crystalline Hf2PaSi at its relaxed geometry. Source: Alexandria via LeMat-Bulk, functional PBE-GGA.

```
Hf2PaSi
1.0
4.076 0.000 0.000
0.000 4.470 0.000
0.000 0.000 4.470
Pa Si Hf
1 1 2
direct
0.500 0.500 0.500
0.500 0.000 0.000
0.000 0.500 0.000
0.000 0.000 0.500
```


What should be chosen as the most stable of them? Choose ii.


i.
Crystalline HfPaSn2 at its relaxed geometry. Source: Alexandria via LeMat-Bulk, functional PBE-GGA.

```
HfPaSn2
1.0
-0.977 -0.032 3.126
1.083 -2.331 2.030
8.057 5.178 4.289
Sn Pa Hf
2 1 1
direct
0.245 0.245 0.264
0.755 0.755 0.736
0.000 0.000 0.000
0.500 0.500 0.500
```


ii.
Crystalline HfPaSn2 at its relaxed geometry. Source: Alexandria via LeMat-Bulk, functional PBE-GGA.

```
HfPaSn2
1.0
-2.766 0.408 3.396
-2.214 -3.911 -1.333
2.896 -2.548 2.665
Pa Sn Hf
1 2 1
direct
0.500 0.500 0.500
0.000 0.500 0.000
0.000 0.000 0.500
0.500 0.000 0.000
```


What should be chosen as the most stable of them? Choose ii.


i.
Crystalline HfPaTa at its relaxed geometry. Source: Alexandria via LeMat-Bulk, functional PBE-GGA.

```
HfPaTa
1.0
3.481 0.000 0.000
0.000 3.481 0.000
-1.740 -1.740 5.341
Ta Pa Hf
1 1 1
direct
0.291 0.291 0.582
0.939 0.939 0.877
0.620 0.620 0.241
```


ii.
Crystalline HfPaTa at its relaxed geometry. Source: Alexandria via LeMat-Bulk, functional PBE-GGA.

```
HfPaTa
1.0
3.140 0.000 0.000
0.000 4.867 0.000
0.000 -2.433 4.215
Hf Pa Ta
1 1 1
direct
0.016 0.000 0.000
0.624 0.667 0.333
0.360 0.333 0.667
```


What should be chosen as the most stable of them? Choose ii.


i.
Crystalline TbHfPa2 at its relaxed geometry. Source: Alexandria via LeMat-Bulk, functional PBE-GGA.

```
TbHfPa2
1.0
-4.852 0.520 1.992
-0.877 -1.007 5.099
-1.077 3.947 3.318
Pa Tb Hf
2 1 1
direct
0.250 0.250 0.249
0.750 0.750 0.751
0.000 0.000 0.000
0.500 0.500 0.500
```


ii.
Crystalline TbHfPa2 at its relaxed geometry. Source: Alexandria via LeMat-Bulk, functional PBE-GGA.

```
TbHfPa2
1.0
3.173 0.000 0.000
0.000 3.173 0.000
0.000 0.000 10.210
Pa Tb Hf
2 1 1
direct
0.000 0.000 0.236
0.000 0.000 0.764
0.500 0.500 0.500
0.500 0.500 0.000
```


What should be chosen as the most stable of them? Choose ii.


i.
Crystalline Hf2PaTc at its relaxed geometry. Source: Alexandria via LeMat-Bulk, functional PBE-GGA.

```
Hf2PaTc
1.0
3.244 0.000 0.000
0.000 3.244 0.000
0.000 0.000 7.971
Hf Tc Pa
2 1 1
direct
0.000 0.000 0.802
0.000 0.000 0.198
0.500 0.500 0.000
0.500 0.500 0.500
```


ii.
Crystalline Hf2PaTc at its relaxed geometry. Source: Alexandria via LeMat-Bulk, functional PBE-GGA.

```
Hf2PaTc
1.0
-3.023 -0.421 -3.739
-4.668 -0.957 0.766
-3.326 3.404 -0.810
Hf Pa Tc
2 1 1
direct
0.250 0.250 0.250
0.750 0.750 0.750
0.500 0.500 0.500
0.000 0.000 0.000
```


What should be chosen as the most stable of them? Choose i.


i.
Crystalline HfPaTc2 at its relaxed geometry. Source: Alexandria via LeMat-Bulk, functional PBE-GGA.

```
HfPaTc2
1.0
3.347 0.000 0.000
0.000 4.752 0.000
0.000 0.000 4.752
Pa Tc Hf
1 2 1
direct
0.500 0.500 0.500
0.000 0.000 0.500
0.000 0.500 0.000
0.500 0.000 0.000
```


ii.
Crystalline HfPaTc2 at its relaxed geometry. Source: Alexandria via LeMat-Bulk, functional PBE-GGA.

```
HfPaTc2
1.0
4.744 0.000 0.000
2.372 4.108 0.000
2.372 1.369 3.873
Tc Pa Hf
2 1 1
direct
0.250 0.250 0.250
0.750 0.750 0.750
0.000 0.000 0.000
0.500 0.500 0.500
```


What should be chosen as the most stable of them? Choose i.


i.
Crystalline HfPaTc at its relaxed geometry. Source: Alexandria via LeMat-Bulk, functional PBE-GGA.

```
HfPaTc
1.0
-2.380 2.424 0.124
-1.889 -1.959 2.037
4.531 1.901 3.193
Tc Pa Hf
1 1 1
direct
0.672 0.672 0.343
0.316 0.316 0.632
0.012 0.012 0.024
```


ii.
Crystalline HfPaTc at its relaxed geometry. Source: Alexandria via LeMat-Bulk, functional PBE-GGA.

```
HfPaTc
1.0
-1.729 3.685 0.900
-1.664 0.658 3.765
6.913 4.484 4.580
Hf Pa Tc
2 2 2
direct
0.370 0.370 0.891
0.630 0.630 0.109
0.127 0.127 0.620
0.873 0.873 0.380
0.253 0.253 0.241
0.747 0.747 0.759
```


iii.
Crystalline HfPaTc at its relaxed geometry. Source: Alexandria via LeMat-Bulk, functional PBE-GGA.

```
HfPaTc
1.0
-2.798 -0.019 -1.379
-1.788 -2.340 3.659
-0.022 4.696 -0.021
Hf Tc Pa
1 1 1
direct
0.339 0.333 0.667
0.692 0.667 0.333
0.969 0.000 0.000
```


What should be chosen as the most stable of them? Choose i.


i.
Crystalline HfPaTe4 at its relaxed geometry. Source: Alexandria via LeMat-Bulk, functional PBE-GGA.

```
HfPaTe4
1.0
4.125 0.000 0.000
-2.063 7.304 -3.522
0.000 -0.238 7.187
Te Pa Hf
4 1 1
direct
0.873 0.746 0.551
0.378 0.756 0.027
0.622 0.244 0.973
0.127 0.254 0.449
0.500 0.000 0.500
0.000 0.000 0.000
```


ii.
Crystalline HfPaTe4 at its relaxed geometry. Source: Alexandria via LeMat-Bulk, functional PBE-GGA.

```
HfPaTe4
1.0
-0.576 -5.927 0.119
8.176 2.125 -3.697
1.234 0.063 9.115
Pa Te Hf
2 8 2
direct
0.778 0.556 0.685
0.222 0.444 0.315
0.720 0.440 0.325
0.156 0.313 0.989
0.844 0.687 0.011
0.396 0.792 0.330
0.280 0.560 0.675
0.055 0.110 0.340
0.604 0.208 0.670
0.945 0.890 0.660
0.109 0.219 0.672
0.891 0.781 0.328
```


What should be chosen as the most stable of them? Choose i.